1.
12
Lattice="6.0985 0.0000 0.0000 -3.0493 5.2815 0.0000 0.0000 0.0000 6.8872" Properties=species:S:1:pos:R:3 comment="KNp2HgO8, optimized geometry, DFT PBE" e_form_raw_ev_per_atom=-1.915 space_group=P-3 total_energy_ev_per_cell=-89.92 pbc="T T T"
O 3.8495 3.2331 6.0071
Np 0.0000 3.5210 6.4817
O 3.9245 0.3312 6.0071
K 0.0000 0.0000 3.4436
O 0.0000 3.5210 4.6299
Np 3.0493 1.7605 0.4055
O -0.8002 2.0483 0.8802
Hg 0.0000 0.0000 0.0000
O 1.6755 3.5643 0.8802
O 1.3738 1.7172 6.0071
O -0.8752 4.9503 0.8802
O 3.0493 1.7605 2.2573



2.
13
Lattice="-0.7269 -4.2336 5.9293 4.8319 -9.1287 -0.0807 8.4892 -1.7965 5.6030" Properties=species:S:1:pos:R:3 comment="Ac8Pm3Nd2, optimized geometry, DFT PBE" e_above_lowest_polymorph_ev_per_atom=0.003 space_group=C2/m total_energy_ev_per_cell=-53.94 pbc="T T T"
Ac 8.5889 -7.3545 7.1862
Ac 5.3538 -5.1011 6.3609
Ac 7.2405 -10.0578 5.0907
Pm 5.4300 -7.9297 0.8488
Pm -0.3634 -2.1168 2.9647
Nd 10.4523 -10.8144 7.2254
Ac 10.1160 -13.0613 10.3405
Ac 4.0054 -7.8044 4.2654
Ac 2.4783 -2.0975 1.1112
Pm 7.8911 -2.9956 4.6735
Ac 4.5800 -8.5556 8.0901
Nd 2.1420 -4.3444 4.2262
Ac 8.0143 -6.6033 3.3616



3.
8
Lattice="-1.7470 4.6106 -2.1830 -4.2605 -2.5864 -2.0576 0.1506 0.0637 6.6757" Properties=species:S:1:pos:R:3 comment="NaLi2NpS4, optimized geometry, DFT PBE" e_form_raw_ev_per_atom=-1.203 space_group=I-4m2 total_energy_ev_per_cell=-44.22 pbc="T T T"
S -1.3749 0.5184 2.1951
Np -2.3001 2.8432 1.1862
Na -3.0037 1.0121 -2.1203
S -3.5999 3.3333 3.2616
S -4.4820 1.5694 0.2400
Li -3.5568 -0.7553 1.2489
S -1.0003 2.3531 -0.8891
Li 0.0000 0.0000 0.0000



4.
6
Lattice="-0.6067 -3.1168 -1.6923 0.4327 -1.7691 3.1031 -13.7433 3.6992 1.9392" Properties=species:S:1:pos:R:3 comment="CaSmGa, optimized geometry, DFT PBE" e_above_lowest_polymorph_ev_per_atom=0.137 space_group=I4/mmm total_energy_ev_per_cell=-21.18 pbc="T T T"
Sm -8.2866 0.7527 1.5845
Ca -2.0048 -2.2687 1.0721
Ca -11.9125 1.0821 2.2779
Ga -3.7377 0.3395 0.7147
Sm -5.6307 -1.9394 1.7655
Ga -10.1796 -1.5262 2.6353



5.
10
Lattice="3.8958 0.0000 0.0000 -1.9479 3.3739 0.0000 0.0000 0.0000 14.3855" Properties=species:S:1:pos:R:3 comment="Ho2TeO2, optimized geometry, DFT PBE" e_form_raw_ev_per_atom=-2.902 space_group=P6_3/mmc total_energy_ev_per_cell=-73.45 pbc="T T T"
O 1.9479 1.1246 8.0563
Te 0.0000 0.0000 10.7892
O 1.9479 1.1246 13.5220
Ho 0.0000 2.2492 12.9853
Ho 0.0000 2.2492 8.5930
Ho 1.9479 1.1246 1.4003
Te 0.0000 0.0000 3.5964
Ho 1.9479 1.1246 5.7925
O 0.0000 2.2492 6.3292
O 0.0000 2.2492 0.8635



6.
9
Lattice="-0.1953 2.3181 3.4049 -3.3201 -2.1061 1.2435 4.7345 -5.2092 3.8181" Properties=species:S:1:pos:R:3 comment="SmCu6Ge2, optimized geometry, DFT PBE" space_group=P4/mmm total_energy_ev_per_cell=-40.70 pbc="T T T"
Ge -1.0144 -0.7118 2.9236
Cu 1.5670 -4.6037 3.2242
Ge 2.2335 -4.2854 5.5428
Cu -0.1526 -2.7117 1.8374
Cu 1.4098 -0.4995 2.9181
Sm 0.0000 0.0000 0.0000
Cu 3.1294 -2.3915 4.3049
Cu 2.3672 -2.6046 1.9090
Cu 0.6095 -2.4986 4.2332



7.
10
Lattice="4.7624 0.0000 -1.6328 -0.5393 6.0078 -1.5730 0.0574 0.0181 7.9295" Properties=species:S:1:pos:R:3 comment="Mg5Sc4In, optimized geometry, DFT PBE" space_group=C2/m total_energy_ev_per_cell=-37.35 pbc="T T T"
In 2.3812 0.0000 -0.8164
Sc 4.2787 0.6390 4.7181
Mg 2.1116 3.0039 -1.6029
Sc 1.0995 4.2088 3.2069
Mg 1.3481 1.2115 3.9321
Mg 2.9325 4.8143 0.7916
Mg 4.0065 3.5659 3.9242
Sc 3.1811 1.8170 1.5168
Mg 0.2741 2.4599 0.7995
Sc 0.0019 5.3869 0.0056



8.
4
Lattice="4.3656 0.0000 0.0000 2.1828 3.7807 0.0000 2.1828 1.2602 3.5645" Properties=species:S:1:pos:R:3 comment="ZnRe2Ir, optimized geometry, DFT PBE" e_above_lowest_polymorph_ev_per_atom=0.216 space_group=F-43m total_energy_ev_per_cell=-34.18 pbc="T T T"
Re 2.1828 1.2602 0.8911
Zn 6.5484 3.7807 2.6734
Ir 4.3656 2.5205 1.7823
Re 0.0000 0.0000 0.0000